one.
Material: InGeN2
Method: DFT, PBE
State: optimized geometry

Values from the calculation:
- Magnetic moment: 0.00 μB per cell

Cell lengths 6.539, 6.539, 6.539 Å; angles 27.40, 27.40, 27.40 degrees
Fractional positions:
Ge (0.500, 0.500, 0.500)
N (0.886, 0.886, 0.886)
N (0.114, 0.114, 0.114)
In (0.000, 0.000, 0.000)



two.
Material: InGeN2
Method: DFT, PBE
State: optimized geometry

Values from the calculation:
- Magnetic moment: 0.00 μB per cell

Cell lengths 6.156, 6.156, 6.156 Å; angles 32.59, 32.59, 32.59 degrees
Fractional positions:
Ge (0.000, 0.000, 0.000)
N (0.898, 0.898, 0.898)
N (0.102, 0.102, 0.102)
In (0.500, 0.500, 0.500)



Preferred: one; penalty for the next structure: 148 meV/atom.



one.
Material: InGeN2
Method: DFT, PBE
State: optimized geometry

Values from the calculation:
- Magnetic moment: 0.00 μB per cell

Cell lengths 5.229, 6.015, 7.190 Å; angles 90.00, 90.00, 90.00 degrees
Fractional positions:
In (0.007, 0.601, 0.885)
In (0.507, 0.399, 0.115)
In (0.507, 0.899, 0.385)
In (0.007, 0.101, 0.615)
Ge (0.002, 0.527, 0.370)
Ge (0.502, 0.473, 0.630)
Ge (0.502, 0.973, 0.870)
Ge (0.002, 0.027, 0.130)
N (0.359, 0.529, 0.390)
N (0.859, 0.471, 0.610)
N (0.859, 0.971, 0.890)
N (0.359, 0.029, 0.110)
N (0.373, 0.720, 0.759)
N (0.873, 0.280, 0.241)
N (0.873, 0.780, 0.259)
N (0.373, 0.220, 0.741)



two.
Material: InGeN2
Method: DFT, PBE
State: optimized geometry

Values from the calculation:
- Magnetic moment: 0.51 μB per cell

Cell lengths 4.127, 4.127, 4.127 Å; angles 60.00, 60.00, 60.00 degrees
Site moments in Bohr magnetons follow the coordinates.
Fractional positions:
Ge (0.000, 0.000, 0.000)  0.00
N (0.250, 0.250, 0.250)  0.20
N (0.750, 0.750, 0.750)  0.20
In (0.500, 0.500, 0.500)  -0.01



Preferred: one; penalty for the next structure: 1102 meV/atom.



one.
Material: InGeSeN2
Method: DFT, PBE
State: optimized geometry

Values from the calculation:
- Magnetic moment: 2.98 μB per cell

Cell lengths 4.300, 4.300, 5.878 Å; angles 90.00, 90.00, 90.00 degrees
Site moments in Bohr magnetons follow the coordinates.
Fractional positions:
Ge (0.500, 0.500, 0.500)  -0.10
N (0.000, 0.500, 0.000)  1.05
N (0.500, 0.000, 0.000)  1.05
Se (0.000, 0.000, 0.500)  0.13
In (0.000, 0.000, 0.000)  -0.03



two.
Material: InGeSeN2
Method: DFT, PBE
State: optimized geometry

Values from the calculation:
- Magnetic moment: 0.19 μB per cell

Cell lengths 3.805, 3.805, 5.862 Å; angles 90.00, 90.00, 90.00 degrees
Site moments in Bohr magnetons follow the coordinates.
Fractional positions:
Ge (0.000, 0.000, 0.000)  -0.01
N (0.000, 0.500, 0.000)  0.07
N (0.500, 0.000, 0.000)  0.07
Se (0.000, 0.000, 0.500)  0.00
In (0.500, 0.500, 0.500)  0.00



Preferred: two; penalty for the next structure: 434 meV/atom.



one.
Material: InGeTeN2
Method: DFT, PBE
State: optimized geometry

Values from the calculation:
- Magnetic moment: 3.01 μB per cell

Cell lengths 4.303, 4.303, 6.114 Å; angles 90.00, 90.00, 90.00 degrees
Site moments in Bohr magnetons follow the coordinates.
Fractional positions:
N (0.000, 0.500, 0.000)  1.05
N (0.500, 0.000, 0.000)  1.05
Ge (0.500, 0.500, 0.500)  -0.10
Te (0.000, 0.000, 0.500)  0.14
In (0.000, 0.000, 0.000)  -0.02



two.
Material: InGeTeN2
Method: DFT, PBE
State: optimized geometry

Values from the calculation:
- Magnetic moment: 1.19 μB per cell

Cell lengths 3.999, 3.999, 5.824 Å; angles 90.00, 90.00, 90.00 degrees
Site moments in Bohr magnetons follow the coordinates.
Fractional positions:
N (0.000, 0.500, 0.000)  0.42
N (0.500, 0.000, 0.000)  0.42
Ge (0.000, 0.000, 0.000)  -0.04
Te (0.000, 0.000, 0.500)  0.06
In (0.500, 0.500, 0.500)  -0.01



Preferred: two; penalty for the next structure: 277 meV/atom.



one.
Material: Na3InGe
Method: DFT, PBE
State: optimized geometry

Values from the calculation:
- Magnetic moment: 0.00 μB per cell

Cell lengths 4.360, 11.334, 11.334 Å; angles 90.00, 90.00, 90.00 degrees
Fractional positions:
Na (0.500, 0.670, 0.996)
Na (0.000, 0.170, 0.504)
Na (0.000, 0.830, 0.496)
Na (0.000, 0.874, 0.874)
Na (0.000, 0.504, 0.170)
Na (0.500, 0.626, 0.374)
Na (0.000, 0.126, 0.126)
Na (0.500, 0.330, 0.004)
Na (0.500, 0.996, 0.670)
Na (0.000, 0.496, 0.830)
Na (0.500, 0.004, 0.330)
Na (0.500, 0.374, 0.626)
In (0.500, 0.310, 0.310)
In (0.000, 0.810, 0.190)
In (0.500, 0.690, 0.690)
In (0.000, 0.190, 0.810)
Ge (0.500, 0.923, 0.077)
Ge (0.000, 0.577, 0.577)
Ge (0.500, 0.077, 0.923)
Ge (0.000, 0.423, 0.423)



two.
Material: Na3InGe
Method: DFT, PBE
State: optimized geometry

Values from the calculation:
- Magnetic moment: 0.00 μB per cell

Cell lengths 7.471, 7.471, 7.367 Å; angles 108.72, 118.40, 102.38 degrees
Fractional positions:
Na (0.852, 0.025, 0.258)
Na (0.232, 0.405, 0.258)
Na (0.768, 0.595, 0.742)
Na (0.716, 0.443, 0.159)
Na (0.148, 0.975, 0.742)
Na (0.284, 0.557, 0.841)
In (0.696, 0.077, 0.773)
In (0.304, 0.923, 0.227)
Ge (0.627, 0.768, 0.394)
Ge (0.373, 0.232, 0.606)



Preferred: one; penalty for the next structure: 49 meV/atom.



one.
Material: Na3InGe
Method: DFT, PBE
State: optimized geometry

Values from the calculation:
- Magnetic moment: 0.00 μB per cell

Cell lengths 5.581, 5.581, 5.581 Å; angles 90.00, 90.00, 90.00 degrees
Fractional positions:
Na (0.000, 0.500, 0.000)
Na (0.000, 0.000, 0.500)
Na (0.500, 0.000, 0.000)
Ge (0.000, 0.000, 0.000)
In (0.500, 0.500, 0.500)



two.
Material: Na3InGe
Method: DFT, PBE
State: optimized geometry

Values from the calculation:
- Magnetic moment: 0.00 μB per cell

Cell lengths 5.678, 5.678, 5.678 Å; angles 90.00, 90.00, 90.00 degrees
Fractional positions:
Na (0.000, 0.500, 0.000)
Na (0.000, 0.000, 0.500)
Na (0.500, 0.000, 0.000)
Ge (0.500, 0.500, 0.500)
In (0.000, 0.000, 0.000)



Preferred: one; penalty for the next structure: 329 meV/atom.



one.
Material: Na2InGe
Method: DFT, PBE
State: optimized geometry

Values from the calculation:
- Magnetic moment: 0.00 μB per cell

Cell lengths 4.694, 4.694, 6.309 Å; angles 89.95, 111.90, 119.99 degrees
Fractional positions:
Na (0.161, 0.831, 0.991)
Na (0.604, 0.052, 0.656)
In (0.745, 0.623, 0.368)
Ge (0.990, 0.245, 0.235)



two.
Material: Na2InGe
Method: DFT, PBE
State: optimized geometry

Values from the calculation:
- Magnetic moment: 0.00 μB per cell

Cell lengths 3.482, 3.482, 8.067 Å; angles 90.00, 90.00, 90.00 degrees
Fractional positions:
Na (0.000, 0.000, 0.726)
Na (0.000, 0.000, 0.274)
Ge (0.500, 0.500, 0.500)
In (0.500, 0.500, 0.000)



three.
Material: Na2InGe
Method: DFT, PBE
State: optimized geometry

Values from the calculation:
- Magnetic moment: 0.00 μB per cell

Cell lengths 5.146, 5.146, 5.146 Å; angles 60.00, 60.00, 60.00 degrees
Fractional positions:
Na (0.250, 0.250, 0.250)
Na (0.750, 0.750, 0.750)
Ge (0.000, 0.000, 0.000)
In (0.500, 0.500, 0.500)



four.
Material: Na2InGe
Method: DFT, PBE
State: optimized geometry

Values from the calculation:
- Magnetic moment: 0.00 μB per cell

Cell lengths 4.370, 4.370, 11.257 Å; angles 78.81, 78.81, 90.00 degrees
Fractional positions:
Na (0.609, 0.125, 0.250)
Na (0.141, 0.625, 0.250)
Na (0.375, 0.391, 0.750)
Na (0.875, 0.859, 0.750)
Ge (0.500, 0.500, 0.000)
Ge (0.250, 0.750, 0.500)
In (0.000, 0.000, 0.000)
In (0.750, 0.250, 0.500)



Preferred: one; penalty for the next structure: 84 meV/atom.



one.
Material: Na2InGe
Method: DFT, PBE
State: optimized geometry

Values from the calculation:
- Magnetic moment: 0.00 μB per cell

Cell lengths 4.930, 4.381, 4.381 Å; angles 90.00, 90.00, 90.00 degrees
Fractional positions:
Na (0.000, 0.000, 0.500)
Na (0.000, 0.500, 0.000)
Ge (0.500, 0.000, 0.000)
In (0.500, 0.500, 0.500)



two.
Material: Na2InGe
Method: DFT, PBE
State: optimized geometry

Values from the calculation:
- Magnetic moment: 0.00 μB per cell

Cell lengths 3.332, 3.332, 10.644 Å; angles 81.00, 81.00, 60.00 degrees
Fractional positions:
Na (0.256, 0.256, 0.232)
Na (0.744, 0.744, 0.768)
Ge (0.000, 0.000, 0.000)
In (0.500, 0.500, 0.500)



Preferred: one; penalty for the next structure: 86 meV/atom.



one.
Material: NbIn2Ge2
Method: DFT, PBE
State: optimized geometry

Values from the calculation:
- Magnetic moment: 0.00 μB per cell

Cell lengths 7.550, 7.550, 3.743 Å; angles 90.00, 90.00, 90.00 degrees
Fractional positions:
Nb (0.000, 0.000, 0.000)
Nb (0.500, 0.500, 0.000)
Ge (0.168, 0.668, 0.500)
Ge (0.668, 0.832, 0.500)
Ge (0.832, 0.332, 0.500)
Ge (0.332, 0.168, 0.500)
In (0.362, 0.862, 0.000)
In (0.862, 0.638, 0.000)
In (0.638, 0.138, 0.000)
In (0.138, 0.362, 0.000)



two.
Material: NbIn2Ge2
Method: DFT, PBE
State: optimized geometry

Values from the calculation:
- Magnetic moment: 0.00 μB per cell

Cell lengths 3.467, 3.467, 9.576 Å; angles 79.57, 79.57, 90.00 degrees
Fractional positions:
Nb (0.000, 0.000, 0.000)
Ge (0.750, 0.250, 0.500)
Ge (0.250, 0.750, 0.500)
In (0.401, 0.401, 0.197)
In (0.599, 0.599, 0.803)



Preferred: two; penalty for the next structure: 55 meV/atom.



one.
Material: NbIn2Ge2
Method: DFT, PBE
State: optimized geometry

Values from the calculation:
- Magnetic moment: 0.00 μB per cell

Cell lengths 7.082, 7.082, 4.088 Å; angles 90.00, 90.00, 90.00 degrees
Fractional positions:
Nb (0.000, 0.000, 0.000)
Nb (0.500, 0.500, 0.000)
Ge (0.361, 0.861, 0.000)
Ge (0.861, 0.639, 0.000)
Ge (0.639, 0.139, 0.000)
Ge (0.139, 0.361, 0.000)
In (0.170, 0.670, 0.500)
In (0.670, 0.830, 0.500)
In (0.830, 0.330, 0.500)
In (0.330, 0.170, 0.500)



two.
Material: NbIn2Ge2
Method: DFT, PBE
State: optimized geometry

Values from the calculation:
- Magnetic moment: 0.51 μB per cell

Cell lengths 3.862, 3.862, 8.058 Å; angles 76.14, 76.14, 90.00 degrees
Site moments in Bohr magnetons follow the coordinates.
Fractional positions:
Nb (0.000, 0.000, 0.000)  0.45
Ge (0.418, 0.418, 0.165)  -0.01
Ge (0.582, 0.582, 0.835)  -0.01
In (0.750, 0.250, 0.500)  -0.01
In (0.250, 0.750, 0.500)  -0.01



Preferred: one; penalty for the next structure: 309 meV/atom.



one.
Material: NbIn3Ge
Method: DFT, PBE
State: optimized geometry

Values from the calculation:
- Magnetic moment: 3.42 μB per cell

Cell lengths 5.247, 5.247, 5.247 Å; angles 90.00, 90.00, 90.00 degrees
Site moments in Bohr magnetons follow the coordinates.
Fractional positions:
Nb (0.500, 0.500, 0.500)  2.58
Ge (0.000, 0.000, 0.000)  0.05
In (0.000, 0.500, 0.000)  -0.01
In (0.000, 0.000, 0.500)  0.01
In (0.500, 0.000, 0.000)  -0.03



two.
Material: NbIn3Ge
Method: DFT, PBE
State: optimized geometry

Values from the calculation:
- Magnetic moment: 0.00 μB per cell

Cell lengths 5.389, 5.389, 5.389 Å; angles 90.00, 90.00, 90.00 degrees
Fractional positions:
Nb (0.000, 0.000, 0.000)
Ge (0.500, 0.500, 0.500)
In (0.000, 0.500, 0.000)
In (0.000, 0.000, 0.500)
In (0.500, 0.000, 0.000)



Preferred: two; penalty for the next structure: 248 meV/atom.



one.
Material: In3NiGe
Method: DFT, PBE
State: optimized geometry

Values from the calculation:
- Magnetic moment: 0.23 μB per cell

Cell lengths 5.287, 5.287, 5.287 Å; angles 90.00, 90.00, 90.00 degrees
Site moments in Bohr magnetons follow the coordinates.
Fractional positions:
Ni (0.500, 0.500, 0.500)  0.41
Ge (0.000, 0.000, 0.000)  -0.01
In (0.000, 0.500, 0.000)  -0.01
In (0.000, 0.000, 0.500)  -0.01
In (0.500, 0.000, 0.000)  -0.01



two.
Material: In3NiGe
Method: DFT, PBE
State: optimized geometry

Values from the calculation:
- Magnetic moment: 0.00 μB per cell

Cell lengths 4.940, 4.940, 4.940 Å; angles 90.00, 90.00, 90.00 degrees
Fractional positions:
Ni (0.000, 0.000, 0.000)
Ge (0.500, 0.500, 0.500)
In (0.000, 0.500, 0.000)
In (0.000, 0.000, 0.500)
In (0.500, 0.000, 0.000)



Preferred: two; penalty for the next structure: 666 meV/atom.